(1)
Density functional theory data (PBE) for a geometry-optimized MgSc2Fe structure.

Calculated values
ΔH_f (0 K): 0.117 eV per atom

abc: 3.2419 6.7279 6.7279
angles: 34.69 90.00 90.00
Fractional coordinates of all 4 atoms:
Mg 0.0000 0.0000 0.0000
Sc 0.0000 0.6920 0.6920
Sc 0.5000 0.3488 0.3488
Fe 0.5000 0.1673 0.1673

=====

(2)
Density functional theory data (PBE) for a geometry-optimized Tb3PuIn4 structure.

Calculated values
ΔH_f (0 K): -0.375 eV per atom

abc: 3.7705 3.7705 15.2072
angles: 90.00 90.00 90.00
Fractional coordinates of all 8 atoms:
Tb 0.0000 0.0000 0.0000
Tb 0.0000 0.0000 0.2486
Tb 0.0000 0.0000 0.7514
Pu 0.0000 0.0000 0.5000
In 0.5000 0.5000 0.1243
In 0.5000 0.5000 0.3708
In 0.5000 0.5000 0.6292
In 0.5000 0.5000 0.8757

=====

(3)
Density functional theory data (PBE) for a geometry-optimized CeHoZrN3 structure.

Calculated values
energy: -103.49 eV per cell

abc: 6.3992 3.3226 9.7514
angles: 90.00 92.74 90.00
Fractional coordinates of all 12 atoms:
Ce 0.1845 0.2500 0.2354
Ce 0.8155 0.7500 0.7646
Ho 0.3339 0.7500 0.8898
Ho 0.6661 0.2500 0.1102
Zr 0.1735 0.2500 0.5812
Zr 0.8265 0.7500 0.4188
N 0.1096 0.2500 0.8024
N 0.1750 0.7500 0.4379
N 0.3878 0.7500 0.1237
N 0.6122 0.2500 0.8763
N 0.8250 0.2500 0.5621
N 0.8904 0.7500 0.1976

=====

(4)
Density functional theory data (PBE) for a geometry-optimized Na2LiAcCl6 structure.

Calculated values
energy: -39.92 eV per cell

abc: 7.5501 7.5501 7.5501
angles: 55.98 55.98 55.98
Fractional coordinates of all 10 atoms:
Na 0.0000 0.0000 0.0000
Na 0.4985 0.4985 0.4985
Li 0.7011 0.7011 0.7011
Ac 0.2018 0.2018 0.2018
Cl 0.0799 0.4255 0.8009
Cl 0.3146 0.8994 0.6063
Cl 0.4255 0.8009 0.0799
Cl 0.6063 0.3146 0.8994
Cl 0.8009 0.0799 0.4255
Cl 0.8994 0.6063 0.3146